Ac6P2PbS3, relaxed, DFT PBE-GGA; M_tot = 0.00 μB/atom; total DFT energy (no corrections) = -5.874 eV per atom
1.0
4.467 0.000 0.000
0.000 8.903 0.388
-2.233 -2.499 9.377
Ac P Pb S
6 2 1 3
direct
0.328 0.907 0.656
0.669 0.580 0.338
0.672 0.093 0.344
0.003 0.267 0.005
0.997 0.733 0.995
0.331 0.420 0.662
0.831 0.663 0.662
0.169 0.337 0.338
0.500 0.000 0.000
0.500 0.500 0.000
0.834 0.169 0.668
0.166 0.831 0.332

Ac4PPb2Se, relaxed, DFT PBE-GGA; M_tot = 0.00 μB/atom; total DFT energy (no corrections) = -5.151 eV per atom
1.0
4.538 0.000 0.000
0.000 7.875 0.145
0.000 -2.753 7.960
Ac P Pb Se
4 1 2 1
direct
0.500 0.233 0.222
0.500 0.767 0.778
0.000 0.249 0.771
0.000 0.751 0.229
0.000 0.000 0.000
0.500 0.000 0.500
0.000 0.500 0.500
0.500 0.500 0.000

Ac4PPbSe2, relaxed, DFT PBE-GGA; M_tot = 0.00 μB/atom; total DFT energy (no corrections) = -5.508 eV per atom
1.0
4.597 0.000 0.000
0.000 7.898 -0.129
0.000 2.807 7.451
Ac P Pb Se
4 1 1 2
direct
0.000 0.749 0.739
0.000 0.251 0.261
0.500 0.740 0.263
0.500 0.260 0.737
0.000 0.500 0.500
0.500 0.500 0.000
0.000 0.000 0.000
0.500 0.000 0.500

Ac6P2PbSe3, relaxed, DFT PBE-GGA; M_tot = 0.00 μB/atom; total DFT energy (no corrections) = -5.677 eV per atom
1.0
-2.023 -1.446 3.798
6.678 -6.035 1.260
4.289 8.733 2.896
Ac P Pb Se
6 2 1 3
direct
0.330 0.901 0.660
0.671 0.574 0.342
0.670 0.099 0.340
0.005 0.260 0.011
0.995 0.740 0.989
0.329 0.426 0.658
0.831 0.663 0.662
0.169 0.337 0.338
0.500 0.000 0.000
0.500 0.500 0.000
0.835 0.169 0.669
0.165 0.831 0.331

Ac4Te2PPb, relaxed, DFT PBE-GGA; M_tot = 0.00 μB/atom; total DFT energy (no corrections) = -5.268 eV per atom
1.0
-3.143 3.148 -1.507
-5.796 -5.685 0.217
0.335 3.818 7.277
Ac Te P Pb
4 2 1 1
direct
0.500 0.256 0.233
0.500 0.744 0.767
0.000 0.268 0.775
0.000 0.732 0.225
0.500 0.000 0.500
0.000 0.500 0.500
0.500 0.500 0.000
0.000 0.000 0.000

Ac4TePPb2, relaxed, DFT PBE-GGA; M_tot = 0.00 μB/atom; total DFT energy (no corrections) = -5.012 eV per atom
1.0
4.628 0.000 0.000
0.000 8.111 0.173
0.000 -2.804 7.936
Ac Te P Pb
4 1 1 2
direct
0.500 0.227 0.227
0.500 0.773 0.773
0.000 0.237 0.758
0.000 0.763 0.242
0.500 0.500 0.000
0.000 0.000 0.000
0.500 0.000 0.500
0.000 0.500 0.500

Ac8Te4P3Pb, relaxed, DFT PBE-GGA; M_tot = 0.00 μB/atom; total DFT energy (no corrections) = -5.506 eV per atom
1.0
9.217 0.000 0.000
0.000 9.394 0.118
-4.608 -4.604 6.520
Ac Te P Pb
8 4 3 1
direct
0.248 0.725 0.977
0.248 0.725 0.495
0.261 0.284 0.522
0.729 0.725 0.977
0.271 0.275 0.023
0.739 0.716 0.478
0.752 0.275 0.505
0.752 0.275 0.023
0.500 0.000 0.000
0.500 0.000 0.500
0.000 0.000 0.000
0.000 0.000 0.500
0.500 0.500 0.000
0.500 0.500 0.500
0.000 0.500 0.500
0.000 0.500 0.000

AcPPd3, relaxed, DFT PBE-GGA; M_tot = 0.00 μB/atom; ΔE to the lowest computed polymorph = 64.0 meV/atom; formation energy from the elements = -0.799 eV per atom
1.0
4.703 0.000 0.000
0.000 4.703 0.000
0.000 0.000 4.703
P Ac Pd
1 1 3
direct
0.000 0.000 0.000
0.500 0.500 0.500
0.000 0.500 0.000
0.000 0.000 0.500
0.500 0.000 0.000

AcP2Pd4, relaxed, DFT PBE-GGA; M_tot = 0.00 μB/atom; formation energy from the elements = -0.788 eV per atom
1.0
3.868 0.000 0.000
0.000 7.982 0.000
0.000 0.000 7.982
Ac P Pd
2 4 8
direct
0.500 0.000 0.000
0.000 0.500 0.500
0.000 0.221 0.779
0.000 0.779 0.221
0.500 0.721 0.721
0.500 0.279 0.279
0.000 0.097 0.342
0.000 0.903 0.658
0.500 0.158 0.597
0.500 0.842 0.403
0.500 0.403 0.842
0.500 0.597 0.158
0.000 0.342 0.097
0.000 0.658 0.903

Ac3PPd8, relaxed, DFT PBE-GGA; M_tot = 0.00 μB/atom; formation energy from the elements = -0.730 eV per atom
1.0
-5.110 -1.045 -2.196
3.929 -4.072 0.088
-3.013 -2.728 8.312
Ac P Pd
3 1 8
direct
0.333 0.667 0.512
0.333 0.667 0.913
0.000 0.000 0.125
0.000 0.000 0.562
0.667 0.333 0.482
0.667 0.333 0.988
0.500 0.500 0.232
0.500 0.000 0.232
0.000 0.500 0.232
0.830 0.170 0.741
0.830 0.660 0.741
0.340 0.170 0.741

AcPPd3, relaxed, DFT PBE-GGA; M_tot = 0.00 μB/atom; ΔE to the lowest computed polymorph = 0.0 meV/atom; formation energy from the elements = -0.863 eV per atom
1.0
0.567 -0.876 4.156
-1.988 -3.760 -0.519
3.950 -4.625 0.696
Ac P Pd
1 1 3
direct
0.394 0.198 0.917
0.033 0.836 0.641
0.637 0.939 0.433
0.136 0.440 0.433
0.809 0.612 0.087

AcPPd3, relaxed, DFT PBE-GGA; M_tot = 0.00 μB/atom; ΔE to the lowest computed polymorph = 258.4 meV/atom; formation energy from the elements = -0.605 eV per atom
1.0
-4.412 1.700 2.084
-2.016 -4.840 -0.320
2.014 -4.198 7.686
Ac P Pd
2 2 6
direct
0.750 0.383 0.234
0.250 0.617 0.766
0.750 0.111 0.778
0.250 0.889 0.222
0.750 0.474 0.566
0.750 0.960 0.566
0.250 0.040 0.434
0.250 0.526 0.434
0.000 0.000 0.000
0.500 0.000 0.000

AcPPd4, relaxed, DFT PBE-GGA; M_tot = 0.00 μB/atom; ΔE to the lowest computed polymorph = 0.0 meV/atom; formation energy from the elements = -0.649 eV per atom
1.0
-0.297 3.732 -1.668
-7.202 -0.454 0.268
0.062 3.094 6.913
Ac P Pd
2 2 8
direct
0.000 0.626 0.750
0.000 0.374 0.250
0.000 0.201 0.750
0.000 0.799 0.250
0.000 0.000 0.500
0.000 0.000 0.000
0.500 0.942 0.750
0.500 0.058 0.250
0.500 0.709 0.064
0.500 0.291 0.936
0.500 0.709 0.436
0.500 0.291 0.564

AcPPd4, relaxed, DFT PBE-GGA; M_tot = 0.00 μB/atom; ΔE to the lowest computed polymorph = 216.9 meV/atom; formation energy from the elements = -0.432 eV per atom
1.0
-4.197 1.257 0.695
0.491 -0.762 4.342
2.152 6.671 0.928
Ac P Pd
1 1 4
direct
0.500 0.500 0.000
0.000 0.000 0.500
0.000 0.000 0.182
0.000 0.000 0.818
0.000 0.500 0.500
0.500 0.000 0.500

AcPPd6, relaxed, DFT PBE-GGA; M_tot = 0.00 μB/atom; formation energy from the elements = -0.502 eV per atom
1.0
-2.322 -4.933 2.121
2.951 -3.166 3.936
-2.098 0.098 5.999
Ac P Pd
1 1 6
direct
0.500 0.500 0.500
0.000 0.000 0.000
0.906 0.906 0.751
0.437 0.906 0.751
0.094 0.563 0.249
0.563 0.094 0.249
0.094 0.094 0.249
0.906 0.437 0.751

Ac3P4Pd4, relaxed, DFT PBE-GGA; M_tot = 0.00 μB/atom; formation energy from the elements = -1.086 eV per atom
1.0
-3.576 -2.456 -0.036
1.525 -2.263 3.308
-6.504 5.503 9.535
Ac P Pd
3 4 4
direct
0.150 0.650 0.700
0.850 0.350 0.300
0.000 0.000 0.000
0.547 0.547 0.905
0.453 0.453 0.095
0.305 0.805 0.389
0.696 0.195 0.611
0.595 0.095 0.809
0.253 0.250 0.500
0.747 0.750 0.500
0.405 0.905 0.191

AcP2Pd3, relaxed, DFT PBE-GGA; M_tot = 0.00 μB/atom; ΔE to the lowest computed polymorph = 67.3 meV/atom; formation energy from the elements = -0.778 eV per atom
1.0
4.011 0.000 -1.091
-0.335 6.899 -1.230
0.096 1.373 8.271
Ac P Pd
2 4 6
direct
0.101 0.251 0.203
0.899 0.749 0.797
0.539 0.863 0.079
0.461 0.137 0.921
0.248 0.741 0.495
0.752 0.259 0.505
0.692 0.956 0.385
0.102 0.764 0.204
0.304 0.436 0.608
0.696 0.564 0.392
0.898 0.236 0.796
0.308 0.044 0.615

Ac2PPd, relaxed, DFT PBE-GGA; M_tot = 0.00 μB/atom; ΔE to the lowest computed polymorph = 55.2 meV/atom; formation energy from the elements = -0.974 eV per atom
1.0
4.303 0.000 0.000
2.151 3.726 0.000
2.151 1.242 7.717
Ac P Pd
2 1 1
direct
0.080 0.080 0.760
0.255 0.255 0.236
0.666 0.666 0.003
0.500 0.500 0.501

Ac3PPd, relaxed, DFT PBE-GGA; M_tot = 0.00 μB/atom; formation energy from the elements = -0.270 eV per atom
1.0
-3.481 -4.130 2.045
4.537 -2.622 2.428
-0.808 3.070 4.825
P Ac Pd
1 3 1
direct
0.000 0.000 0.000
0.000 0.500 0.000
0.000 0.000 0.500
0.500 0.000 0.000
0.500 0.500 0.500

AcP4Pd6, relaxed, DFT PBE-GGA; M_tot = 0.00 μB/atom; formation energy from the elements = -0.593 eV per atom
1.0
6.423 0.044 0.065
-2.930 5.716 -0.065
-2.930 -2.162 5.291
Ac P Pd
1 4 6
direct
0.000 0.000 0.000
0.000 0.150 0.563
0.587 0.437 0.437
0.000 0.563 0.150
0.413 0.850 0.850
0.000 0.786 0.484
0.000 0.484 0.786
0.698 0.214 0.214
0.500 0.000 0.500
0.302 0.516 0.516
0.500 0.500 0.000